Entry 1:
DFT (PBE) results for a relaxed NdSm4Ho6 crystal.

a b c (Å): 7.7431 7.7431 12.9374
angles (deg): 90.00 90.00 90.00
With the nearest neighbours (Å) after each atom.
Space group I-42m (No. 121)
Unique sites:
Nd: 0.0000 0.0000 0.0000 (multiplicity 2)  8 Ho 3.65-3.87, 4 Sm 3.73
Sm: 0.1713 0.1713 0.4252 (multiplicity 8)  3 Ho 3.03-3.22, 2 Sm 3.28
Ho: 0.0000 0.5000 0.0000 (multiplicity 4)  4 Sm 3.03
Ho: 0.2492 0.2492 0.6855 (multiplicity 8)  2 Sm 3.22-3.47

Summary:
Distance to the lowest polymorph of the same formula ... 134 meV per atom
Raw total energy ... -0.1543 Ha/atom
Calculated formation energy ... 447 meV per atom

---

Entry 2:
DFT (PBE) results for a relaxed NdSm3Ho8 crystal.

a b c (Å): 15.7165 6.2946 10.8804
angles (deg): 90.00 133.72 90.00
With the nearest neighbours (Å) after each atom.
Space group C2 (No. 5)
Unique sites:
Nd: 0.0000 0.0000 0.0000 (multiplicity 2)  10 Ho 3.54-3.66, 2 Sm 3.54
Sm: 0.0000 0.5000 0.5000 (multiplicity 2)  10 Ho 3.53-3.65, 2 Sm 3.54
Sm: 0.2496 0.1643 0.7495 (multiplicity 4)  10 Ho 3.53-3.65, 1 Sm 3.54, 1 Nd 3.54
Ho: 0.0001 0.4971 0.1681 (multiplicity 4)  7 Ho 3.52-3.66, 3 Sm 3.54-3.61, 2 Nd 3.62-3.66
Ho: 0.9999 0.9970 0.3328 (multiplicity 4)  7 Ho 3.51-3.64, 4 Sm 3.53-3.65, 1 Nd 3.62
Ho: 0.2494 0.6673 0.5817 (multiplicity 4)  7 Ho 3.51-3.65, 4 Sm 3.53-3.65, 1 Nd 3.54
Ho: 0.2502 0.1673 0.0826 (multiplicity 4)  7 Ho 3.51-3.65, 1 Nd 3.54, 4 Sm 3.54-3.65

Summary:
Raw total energy ... -0.1695 Ha/atom
Calculated formation energy ... 17 meV per atom

---

Entry 3:
DFT (PBE) results for a relaxed Nd2SmHo7 crystal.

a b c (Å): 6.1663 6.1709 9.4325
angles (deg): 102.55 109.03 99.55
With the nearest neighbours (Å) after each atom.
Space group P-1 (No. 2)
Unique sites:
Nd: 0.1002 0.0002 0.2000 (multiplicity 2)  10 Ho 3.55-3.58, 1 Nd 3.57, 1 Sm 3.57
Sm: 0.5000 0.5000 0.5000 (multiplicity 1)  10 Ho 3.55-3.57, 2 Nd 3.57
Ho: 0.1023 0.5008 0.7006 (multiplicity 2)  8 Ho 3.55-3.58, 2 Sm 3.55-3.57, 2 Nd 3.56-3.57
Ho: 0.2983 0.9995 0.5997 (multiplicity 2)  7 Ho 3.55-3.57, 3 Nd 3.55-3.57, 2 Sm 3.56-3.57
Ho: 0.3015 0.5016 0.0999 (multiplicity 2)  8 Ho 3.54-3.58, 3 Nd 3.56-3.58, 1 Sm 3.57
Ho: 0.5000 0.0000 0.0000 (multiplicity 1)  8 Ho 3.55-3.57, 4 Nd 3.56

Summary:
Distance to the lowest polymorph of the same formula ... 0 meV per atom
Raw total energy ... -0.1694 Ha/atom
Calculated formation energy ... 19 meV per atom

---

Entry 4:
DFT (PBE) results for a relaxed Nd5Sm3Ho4 crystal.

a b c (Å): 6.2638 7.2264 8.8537
angles (deg): 90.09 90.05 90.02
With the nearest neighbours (Å) after each atom.
Space group P-1 (No. 2)
Unique sites:
Nd: 0.0000 0.0000 0.0000 (multiplicity 1)  4 Nd 3.60-3.61, 4 Sm 3.61-3.62, 4 Ho 3.62-3.64
Nd: 0.3319 0.5000 0.3353 (multiplicity 2)  5 Ho 3.59-3.63, 4 Sm 3.59-3.63, 3 Nd 3.60-3.64
Nd: 0.4990 0.7519 0.9999 (multiplicity 2)  6 Nd 3.59-3.64, 3 Sm 3.62-3.64, 3 Ho 3.62-3.63
Sm: 0.0000 0.5000 0.0000 (multiplicity 1)  8 Nd 3.61-3.63, 2 Sm 3.63, 2 Ho 3.64
Sm: 0.1659 0.2481 0.6644 (multiplicity 2)  6 Ho 3.57-3.65, 5 Nd 3.59-3.64, 1 Sm 3.63
Ho: 0.1672 0.7528 0.6648 (multiplicity 2)  3 Ho 3.57-3.61, 4 Sm 3.58-3.65, 5 Nd 3.59-3.63
Ho: 0.3342 0.0000 0.3361 (multiplicity 2)  4 Ho 3.57-3.61, 3 Sm 3.57-3.61, 5 Nd 3.61-3.64

Summary:
Distance to the lowest polymorph of the same formula ... 0 meV per atom
Raw total energy ... -0.1719 Ha/atom
Calculated formation energy ... 15 meV per atom

---

Entry 5:
DFT (PBE) results for a relaxed Nd4SmHo crystal.

a b c (Å): 9.4786 9.4786 9.4786
angles (deg): 90.00 90.00 90.00
With the nearest neighbours (Å) after each atom.
Space group F-43m (No. 216)
Unique sites:
Nd: 0.1255 0.1255 0.1255 (multiplicity 16)  6 Nd 3.34-3.36
Sm: 0.2500 0.2500 0.7500 (multiplicity 4)  12 Nd 3.93, 4 Ho 4.10
Ho: 0.0000 0.0000 0.5000 (multiplicity 4)  12 Nd 3.93, 4 Sm 4.10

Summary:
Distance to the lowest polymorph of the same formula ... 244 meV per atom
Raw total energy ... -0.1642 Ha/atom
Calculated formation energy ... 260 meV per atom

---

Entry 6:
DFT (PBE) results for a relaxed Nd8Sm6Ho crystal.

a b c (Å): 9.2653 9.2653 21.0524
angles (deg): 90.00 90.00 120.00
With the nearest neighbours (Å) after each atom.
Space group R-3 (No. 148, hexagonal axes)
Unique sites:
Nd: 0.0000 0.0000 0.0779 (multiplicity 6)  4 Nd 3.28-3.49, 3 Sm 3.43
Nd: 0.0807 0.5567 0.3065 (multiplicity 18)  3 Sm 3.46-3.85, 5 Nd 3.49-3.52, 1 Ho 3.58
Sm: 0.0514 0.2466 0.2070 (multiplicity 18)  3 Nd 3.43-3.48, 1 Ho 3.54, 4 Sm 3.62-3.83
Ho: 0.0000 0.0000 0.5000 (multiplicity 3)  6 Sm 3.54, 6 Nd 3.58

Summary:
Distance to the lowest polymorph of the same formula ... 0 meV per atom
Raw total energy ... -0.1699 Ha/atom
Calculated formation energy ... 114 meV per atom

---

Entry 7:
DFT (PBE) results for a relaxed Nd6Sm12Ho crystal.

a b c (Å): 16.5775 16.5775 8.4362
angles (deg): 90.00 90.00 120.00
With the nearest neighbours (Å) after each atom.
Space group R-3m (No. 166, hexagonal axes)
Unique sites:
Nd: 0.0855 0.1711 0.1457 (multiplicity 18)  5 Sm 3.45-3.83, 2 Nd 3.47
Sm: 0.0000 0.3796 0.0000 (multiplicity 18)  4 Sm 3.11-3.23, 2 Nd 3.45
Sm: 0.0941 0.5470 0.3114 (multiplicity 18)  4 Sm 3.23-3.56, 2 Nd 3.54
Ho: 0.0000 0.0000 0.5000 (multiplicity 3)  6 Sm 3.65, 6 Nd 3.87

Summary:
Distance to the lowest polymorph of the same formula ... 176 meV per atom
Raw total energy ... -0.1623 Ha/atom
Calculated formation energy ... 312 meV per atom

---

Entry 8:
DFT (PBE) results for a relaxed Nd6SmHo2 crystal.

a b c (Å): 7.6141 7.6141 6.2055
angles (deg): 90.00 90.00 120.00
With the nearest neighbours (Å) after each atom.
Space group P-3m1 (No. 164)
Unique sites:
Nd: 0.1885 0.3770 0.2117 (multiplicity 6)  1 Sm 3.06, 2 Nd 3.31
Sm: 0.0000 0.0000 0.5000 (multiplicity 1)  6 Nd 3.06
Ho: 0.3333 0.6667 0.7171 (multiplicity 2)  12 Nd 3.61-3.84

Summary:
Distance to the lowest polymorph of the same formula ... 166 meV per atom
Raw total energy ... -0.1653 Ha/atom
Calculated formation energy ... 223 meV per atom

---

- Look up the raw total energy of the sixth one.
  -0.1699 Ha/atom